Density functional theory data (PBEsol) for a relaxed structure of La2AlSe.

```
data_La2AlSe
_chemical_formula_sum 'La2 Al1 Se1'
_cell_length_a 3.6783
_cell_length_b 3.6783
_cell_length_c 9.6449
_cell_angle_alpha 79.01
_cell_angle_beta 79.01
_cell_angle_gamma 60.00
_space_group_name_H-M_alt 'P 1'
_space_group_IT_number 1
loop_
_space_group_symop_operation_xyz
'x,y,z'
loop_
_atom_site_label
_atom_site_type_symbol
_atom_site_fract_x
_atom_site_fract_y
_atom_site_fract_z
La1 La 0.7642 0.7642 0.7075
La2 La 0.9915 0.9915 0.0256
Al1 Al 0.2333 0.2333 0.3001
Se1 Se 0.5111 0.5111 0.4668
```

Calculated values
The total energy comes out at -20.4 eV per cell. The uncorrected formation energy comes out at -448.0 meV/atom. Its crystal system is trigonal.



Density functional theory data (PBEsol) for a relaxed structure of CuPt3.

```
data_CuPt3
_chemical_formula_sum 'Cu1 Pt3'
_cell_length_a 2.7326
_cell_length_b 3.8463
_cell_length_c 5.4154
_cell_angle_alpha 90.00
_cell_angle_beta 90.00
_cell_angle_gamma 90.00
_space_group_name_H-M_alt 'P 1'
_space_group_IT_number 1
loop_
_space_group_symop_operation_xyz
'x,y,z'
loop_
_atom_site_label
_atom_site_type_symbol
_atom_site_fract_x
_atom_site_fract_y
_atom_site_fract_z
Cu1 Cu 0.0000 0.0000 0.0000
Pt1 Pt 0.5000 0.5000 0.7564
Pt2 Pt 0.0000 0.0000 0.5000
Pt3 Pt 0.5000 0.5000 0.2436
```

Calculated values
The total energy comes out at -25.4 eV per cell. For the formation energy, the calculation gives -5 kJ/mol of atoms. Its crystal system is orthorhombic.



Density functional theory data (PBEsol) for a relaxed structure of CaCdW.

```
data_CaCdW
_chemical_formula_sum 'Ca1 Cd1 W1'
_cell_length_a 4.7572
_cell_length_b 4.7572
_cell_length_c 4.7572
_cell_angle_alpha 60.00
_cell_angle_beta 60.00
_cell_angle_gamma 60.00
_space_group_name_H-M_alt 'P 1'
_space_group_IT_number 1
loop_
_space_group_symop_operation_xyz
'x,y,z'
loop_
_atom_site_label
_atom_site_type_symbol
_atom_site_fract_x
_atom_site_fract_y
_atom_site_fract_z
Ca1 Ca 0.5000 0.5000 0.5000
Cd1 Cd 0.2500 0.2500 0.2500
W1 W 0.0000 0.0000 0.0000
```

Calculated values
The total energy comes out at -12.9 eV per cell. For the formation energy, the calculation gives 137 kJ/mol of atoms. Its crystal system is cubic.



Density functional theory data (PBEsol) for a relaxed structure of SrTeSe3.

```
data_SrTeSe3
_chemical_formula_sum 'Sr1 Te1 Se3'
_cell_length_a 5.2934
_cell_length_b 5.2934
_cell_length_c 5.2934
_cell_angle_alpha 90.00
_cell_angle_beta 90.00
_cell_angle_gamma 90.00
_space_group_name_H-M_alt 'P 1'
_space_group_IT_number 1
loop_
_space_group_symop_operation_xyz
'x,y,z'
loop_
_atom_site_label
_atom_site_type_symbol
_atom_site_fract_x
_atom_site_fract_y
_atom_site_fract_z
Se1 Se 0.5000 0.0000 0.0000
Se2 Se 0.0000 0.0000 0.5000
Se3 Se 0.0000 0.5000 0.0000
Te1 Te 0.0000 0.0000 0.0000
Sr1 Sr 0.5000 0.5000 0.5000
```

Calculated values
The total energy comes out at -19.7 eV per cell. The uncorrected formation energy comes out at -564.4 meV/atom. Its crystal system is cubic.



Density functional theory data (PBEsol) for a relaxed structure of RbAlAs3.

```
data_RbAlAs3
_chemical_formula_sum 'Rb1 Al1 As3'
_cell_length_a 5.4516
_cell_length_b 5.4516
_cell_length_c 5.4516
_cell_angle_alpha 90.00
_cell_angle_beta 90.00
_cell_angle_gamma 90.00
_space_group_name_H-M_alt 'P 1'
_space_group_IT_number 1
loop_
_space_group_symop_operation_xyz
'x,y,z'
loop_
_atom_site_label
_atom_site_type_symbol
_atom_site_fract_x
_atom_site_fract_y
_atom_site_fract_z
Al1 Al 0.5000 0.5000 0.5000
Rb1 Rb 0.0000 0.0000 0.0000
As1 As 0.0000 0.0000 0.5000
As2 As 0.5000 0.0000 0.0000
As3 As 0.0000 0.5000 0.0000
```

Calculated values
The total energy comes out at -11.6 eV per cell. For the formation energy, the calculation gives 171 kJ/mol of atoms. Its crystal system is cubic.



Density functional theory data (PBEsol) for a relaxed structure of HfHgRhPb2.

```
data_HfHgRhPb2
_chemical_formula_sum 'Hf1 Hg1 Rh1 Pb2'
_cell_length_a 5.2434
_cell_length_b 5.4206
_cell_length_c 5.4206
_cell_angle_alpha 90.00
_cell_angle_beta 90.00
_cell_angle_gamma 90.00
_space_group_name_H-M_alt 'P 1'
_space_group_IT_number 1
loop_
_space_group_symop_operation_xyz
'x,y,z'
loop_
_atom_site_label
_atom_site_type_symbol
_atom_site_fract_x
_atom_site_fract_y
_atom_site_fract_z
Pb1 Pb 0.0000 0.0000 0.5000
Pb2 Pb 0.0000 0.5000 0.0000
Hg1 Hg 0.5000 0.0000 0.0000
Rh1 Rh 0.5000 0.5000 0.5000
Hf1 Hf 0.0000 0.0000 0.0000
```

Calculated values
The total energy comes out at -20.9 eV per cell. For the formation energy, the calculation gives 122 kJ/mol of atoms. Its crystal system is tetragonal.



Density functional theory data (PBEsol) for a relaxed structure of CrRuSe2.

```
data_CrRuSe2
_chemical_formula_sum 'Cr1 Ru1 Se2'
_cell_length_a 3.6670
_cell_length_b 3.6670
_cell_length_c 5.2095
_cell_angle_alpha 110.61
_cell_angle_beta 110.61
_cell_angle_gamma 90.00
_space_group_name_H-M_alt 'P 1'
_space_group_IT_number 1
loop_
_space_group_symop_operation_xyz
'x,y,z'
loop_
_atom_site_label
_atom_site_type_symbol
_atom_site_fract_x
_atom_site_fract_y
_atom_site_fract_z
Cr1 Cr 0.5000 0.5000 0.0000
Ru1 Ru 0.2500 0.7500 0.5000
Se1 Se 0.0000 0.0000 0.0000
Se2 Se 0.7500 0.2500 0.5000
```

Calculated values
The total energy comes out at -26.7 eV per cell. The uncorrected formation energy comes out at 346.2 meV/atom. Its crystal system is tetragonal.



Density functional theory data (PBEsol) for a relaxed structure of Cd5Bi6Cl12O8.

```
data_Cd5Bi6Cl12O8
_chemical_formula_sum 'Cd5 Bi6 Cl12 O8'
_cell_length_a 5.4764
_cell_length_b 10.8917
_cell_length_c 12.1005
_cell_angle_alpha 116.75
_cell_angle_beta 103.08
_cell_angle_gamma 90.00
_space_group_name_H-M_alt 'P 1'
_space_group_IT_number 1
loop_
_space_group_symop_operation_xyz
'x,y,z'
loop_
_atom_site_label
_atom_site_type_symbol
_atom_site_fract_x
_atom_site_fract_y
_atom_site_fract_z
Bi1 Bi 0.8083 0.5542 0.6166
Bi2 Bi 0.3073 0.3073 0.6147
Bi3 Bi 0.1917 0.9376 0.3834
Bi4 Bi 0.1917 0.4458 0.3834
Bi5 Bi 0.8083 0.0624 0.6166
Bi6 Bi 0.6927 0.6927 0.3853
O1 O 0.0066 0.1228 0.5008
O2 O 0.0066 0.3780 0.5008
O3 O 0.5058 0.8772 0.4992
O4 O 0.4942 0.3780 0.5008
O5 O 0.5058 0.6220 0.4992
O6 O 0.9934 0.6220 0.4992
O7 O 0.4942 0.1228 0.5008
O8 O 0.9934 0.8772 0.4992
Cl1 Cl 0.5000 0.5000 0.0000
Cl2 Cl 0.6198 0.8909 0.2396
Cl3 Cl 0.8760 0.8760 0.7520
Cl4 Cl 0.3802 0.1091 0.7604
Cl5 Cl 0.1240 0.1240 0.2480
Cl6 Cl 0.5000 0.0000 0.0000
Cl7 Cl 0.6198 0.3486 0.2396
Cl8 Cl 0.0000 0.2358 0.0000
Cl9 Cl 0.0000 0.7642 0.0000
Cl10 Cl 0.1252 0.6252 0.2503
Cl11 Cl 0.8748 0.3748 0.7497
Cl12 Cl 0.3802 0.6514 0.7604
Cd1 Cd 0.3065 0.8065 0.6129
Cd2 Cd 0.6935 0.1935 0.3871
Cd3 Cd 0.5000 0.2669 0.0000
Cd4 Cd 0.0000 0.0000 0.0000
Cd5 Cd 0.5000 0.7331 0.0000
```

Calculated values
The total energy comes out at -134.5 eV per cell. The uncorrected formation energy comes out at -1184.3 meV/atom. Its crystal system is orthorhombic.